Computed, not measured: an optimized crystal structure of Sb2TeIrPt at the PBE level of DFT.

Properties
energy above the lowest structure with this stoichiometry	0	meV/atom
formation energy (no corrections)	755	meV per atom
V	27.03	Å³/atom

Cell: 5.016 5.016 5.370 Å, 90.00 90.00 90.00°
Space group P4/mmm (No. 123)
Symmetry-distinct sites (fractional):
Sb  0.000  0.500  0.000 [2 per cell]
Te  0.000  0.000  0.500 [1 per cell]
Ir  0.000  0.000  0.000 [1 per cell]
Pt  0.500  0.500  0.500 [1 per cell]

---

Computed, not measured: an optimized crystal structure of ZrSbIrPt2 at the PBE level of DFT.

Properties
formation energy (no corrections)	522	meV per atom
V	23.70	Å³/atom

Cell: 4.947 4.947 4.843 Å, 90.00 90.00 90.00°
Space group P4/mmm (No. 123)
Symmetry-distinct sites (fractional):
Zr  0.000  0.000  0.000 [1 per cell]
Sb  0.500  0.500  0.000 [1 per cell]
Ir  0.000  0.000  0.500 [1 per cell]
Pt  0.000  0.500  0.500 [2 per cell]

---

Computed, not measured: an optimized crystal structure of ScIrPt2 at the PBE level of DFT.

Properties
V	16.05	Å³/atom
raw total energy	-0.2758	Ha/atom

Cell: 3.999 3.999 8.033 Å, 90.00 90.00 90.00°
Space group I-4m2 (No. 119)
Symmetry-distinct sites (fractional):
Sc  0.000  0.000  0.000 [2 per cell]
Ir  0.000  0.500  0.750 [2 per cell]
Pt  0.000  0.000  0.500 [2 per cell]
Pt  0.000  0.500  0.250 [2 per cell]